[1]
A plane-wave DFT calculation with PBE was carried out for SrIn8Rh4 after structural relaxation.

Properties
Magnetic moment: 0.00 μB/f.u.
DFT total energy: -4.43 eV/atom
Calculated volume: 20.58 A^3/atom
ΔH_f (0 K): -0.352 eV per atom
DOS(E_F): 6.82 states/eV/f.u.

Cell: 5.857 7.366 7.366 Å, 80.90 66.57 66.57°
Fractional positions:
Rh  0.000  0.000  0.500
In  0.337  0.663  0.663
In  0.724  0.776  0.776
Rh  0.000  0.500  0.000
In  0.000  0.337  0.663
Rh  0.500  0.000  0.500
In  0.663  0.337  0.337
In  0.500  0.776  0.224
Rh  0.500  0.500  0.000
In  0.000  0.663  0.337
Sr  0.000  0.000  0.000
In  0.500  0.224  0.776
In  0.276  0.224  0.224

---

[2]
A plane-wave DFT calculation with PBE was carried out for Pr3CdAu4 after structural relaxation.

Properties
Magnetic moment: 0.00 μB/f.u.
DFT total energy: -4.16 eV/atom
Calculated volume: 27.38 A^3/atom
ΔH_f (0 K): -0.617 eV per atom
DOS(E_F): 5.73 states/eV/f.u.

Cell: 4.065 7.168 8.573 Å, 114.71 103.72 90.00°
Fractional positions:
Au  0.372  0.572  0.743
Pr  0.809  0.809  0.618
Au  0.628  0.829  0.257
Cd  0.500  0.000  0.000
Pr  0.000  0.500  0.000
Au  0.628  0.428  0.257
Au  0.372  0.171  0.743
Pr  0.191  0.191  0.382

---

[3]
A plane-wave DFT calculation with PBE was carried out for SrLaZn2Cu after structural relaxation.

Properties
Magnetic moment: 0.00 μB/f.u.
DFT total energy: -2.59 eV/atom
Calculated volume: 26.06 A^3/atom
ΔH_f (0 K): 0.056 eV per atom
Energy above the most stable polymorph in this dataset: 0 meV/atom
DOS(E_F): 3.08 states/eV/f.u.

Cell: 4.990 5.234 4.990 Å, 90.00 90.00 90.00°
Fractional positions:
La  0.000  0.500  0.000
Zn  0.500  0.000  0.000
Sr  0.500  0.500  0.500
Cu  0.000  0.000  0.000
Zn  0.000  0.000  0.500

---

[4]
A plane-wave DFT calculation with PBE was carried out for Sr2CdPt4Pb3 after structural relaxation.

Properties
Magnetic moment: 0.00 μB/f.u.
DFT total energy: -4.45 eV/atom
Calculated volume: 25.35 A^3/atom
ΔH_f (0 K): -0.495 eV per atom
DOS(E_F): 4.09 states/eV/f.u.

Cell: 4.817 4.817 10.925 Å, 90.00 90.00 90.00°
Fractional positions:
Sr  0.500  0.000  0.240
Cd  0.500  0.500  0.500
Pt  0.500  0.500  0.000
Pt  0.000  0.500  0.371
Pb  0.000  0.500  0.124
Pt  0.500  0.000  0.629
Pt  0.000  0.000  0.000
Pb  0.500  0.000  0.876
Pb  0.000  0.000  0.500
Sr  0.000  0.500  0.760

---

Q: Which formula does entry 2 have?
A: Pr3CdAu4